Record 1
First-principles (PBE-GGA) data for a relaxed AlIn3F crystal, as listed in Alexandria via LeMat-Bulk.

* formation energy without anion corrections: -318.8 meV per atom
* E_tot: -3.085 eV/atom
* theoretical density: 5.26 g cm⁻³
* energy above the lowest structure with this stoichiometry: 0 meV/atom

a = 4.9764 Å, b = 4.9764 Å, c = 4.9764 Å
α = 90.00°, β = 90.00°, γ = 90.00°
Element x y z (fractional)
Al (0.0000, 0.0000, 0.0000)
In (0.0000, 0.5000, 0.5000)
In (0.5000, 0.0000, 0.5000)
In (0.5000, 0.5000, 0.0000)
F (0.5000, 0.5000, 0.5000)



Record 2
First-principles (PBE-GGA) data for a relaxed AlIn3F7 crystal, as listed in Alexandria via LeMat-Bulk.

* formation energy without anion corrections: -2434.9 meV per atom
* E_tot: -4.713 eV/atom
* theoretical density: 4.61 g cm⁻³

a = 5.6001 Å, b = 5.6001 Å, c = 6.2545 Å
α = 105.84°, β = 105.84°, γ = 86.69°
Element x y z (fractional)
Al (0.0000, 0.0000, 0.0000)
In (0.3112, 0.7870, 0.5753)
In (0.5864, 0.5864, 0.1769)
In (0.7870, 0.3112, 0.5753)
F (0.0242, 0.6897, 0.8026)
F (0.1281, 0.1281, 0.8004)
F (0.3143, 0.9684, 0.1650)
F (0.5197, 0.5197, 0.8102)
F (0.6897, 0.0242, 0.8026)
F (0.8677, 0.8677, 0.1837)
F (0.9684, 0.3143, 0.1650)



Record 3
First-principles (PBE-GGA) data for a relaxed AlIn3F6 crystal, as listed in Alexandria via LeMat-Bulk.

* formation energy without anion corrections: -2391.3 meV per atom
* E_tot: -4.710 eV/atom
* theoretical density: 4.46 g cm⁻³

a = 6.9721 Å, b = 6.5533 Å, c = 5.8476 Å
α = 68.15°, β = 60.74°, γ = 51.12°
Element x y z (fractional)
Al (0.0000, 0.0000, 0.0000)
In (0.2500, 0.2500, 0.2500)
In (0.5000, 0.5000, 0.5000)
In (0.7500, 0.7500, 0.7500)
F (0.0517, 0.7050, 0.9483)
F (0.2055, 0.7945, 0.2055)
F (0.2950, 0.9483, 0.7050)
F (0.7050, 0.0517, 0.2950)
F (0.7945, 0.2055, 0.7945)
F (0.9483, 0.2950, 0.0517)



Record 4
First-principles (PBE-GGA) data for a relaxed AlIn3F crystal, as listed in Alexandria via LeMat-Bulk.

* formation energy without anion corrections: -64.8 meV per atom
* E_tot: -2.831 eV/atom
* theoretical density: 4.19 g cm⁻³
* energy above the lowest structure with this stoichiometry: 254 meV/atom

a = 5.3683 Å, b = 5.3683 Å, c = 5.3683 Å
α = 90.00°, β = 90.00°, γ = 90.00°
Element x y z (fractional)
Al (0.0000, 0.0000, 0.0000)
In (0.0000, 0.0000, 0.5000)
In (0.0000, 0.5000, 0.0000)
In (0.5000, 0.0000, 0.0000)
F (0.5000, 0.5000, 0.5000)



Record 5
First-principles (PBE-GGA) data for a relaxed AlIn3F6 crystal, as listed in Alexandria via LeMat-Bulk.

* formation energy without anion corrections: -2389.5 meV per atom
* E_tot: -4.708 eV/atom
* theoretical density: 4.55 g cm⁻³

a = 6.3058 Å, b = 6.3058 Å, c = 6.3033 Å
α = 119.97°, β = 119.97°, γ = 59.99°
Element x y z (fractional)
Al (0.0000, 0.0000, 0.0000)
In (0.2500, 0.2500, 0.7501)
In (0.5000, 0.5000, 0.5000)
In (0.7500, 0.7500, 0.2499)
F (0.2053, 0.7929, 0.2054)
F (0.2060, 0.2060, 0.2076)
F (0.2071, 0.7947, 0.7946)
F (0.7929, 0.2053, 0.2054)
F (0.7940, 0.7940, 0.7924)
F (0.7947, 0.2071, 0.7946)



Record 6
First-principles (PBE-GGA) data for a relaxed AlIn2F6 crystal, as listed in Alexandria via LeMat-Bulk.

* formation energy without anion corrections: -2503.6 meV per atom
* E_tot: -4.776 eV/atom
* theoretical density: 4.81 g cm⁻³

a = 5.6553 Å, b = 5.6553 Å, c = 5.6553 Å
α = 60.00°, β = 60.00°, γ = 60.00°
Element x y z (fractional)
Al (0.0000, 0.0000, 0.0000)
In (0.2500, 0.2500, 0.2500)
In (0.7500, 0.7500, 0.7500)
F (0.2283, 0.2283, 0.7717)
F (0.2283, 0.7717, 0.2283)
F (0.2283, 0.7717, 0.7717)
F (0.7717, 0.2283, 0.2283)
F (0.7717, 0.2283, 0.7717)
F (0.7717, 0.7717, 0.2283)



Record 7
First-principles (PBE-GGA) data for a relaxed AlIn2F2 crystal, as listed in Alexandria via LeMat-Bulk.

* formation energy without anion corrections: -1198.0 meV per atom
* E_tot: -3.790 eV/atom
* theoretical density: 4.41 g cm⁻³
* energy above the lowest structure with this stoichiometry: 0 meV/atom

a = 5.2453 Å, b = 5.2453 Å, c = 5.2453 Å
α = 111.10°, β = 111.10°, γ = 106.26°
Element x y z (fractional)
Al (0.0000, 0.0000, 0.0000)
In (0.2500, 0.7500, 0.5000)
In (0.7500, 0.2500, 0.5000)
F (0.2799, 0.2799, 0.0000)
F (0.7201, 0.7201, 0.0000)



Record 8
First-principles (PBE-GGA) data for a relaxed Al3InF crystal, as listed in Alexandria via LeMat-Bulk.

* formation energy without anion corrections: 484.3 meV per atom
* E_tot: -2.683 eV/atom
* theoretical density: 2.39 g cm⁻³
* energy above the lowest structure with this stoichiometry: 725 meV/atom

a = 5.3070 Å, b = 5.3070 Å, c = 5.3070 Å
α = 90.00°, β = 90.00°, γ = 90.00°
Element x y z (fractional)
Al (0.0000, 0.0000, 0.5000)
Al (0.0000, 0.5000, 0.0000)
Al (0.5000, 0.0000, 0.0000)
In (0.0000, 0.0000, 0.0000)
F (0.5000, 0.5000, 0.5000)



Record 9
First-principles (PBE-GGA) data for a relaxed AlIn2F5 crystal, as listed in Alexandria via LeMat-Bulk.

* formation energy without anion corrections: -2577.7 meV per atom
* E_tot: -4.900 eV/atom
* theoretical density: 3.41 g cm⁻³
* energy above the lowest structure with this stoichiometry: 39 meV/atom

a = 6.2718 Å, b = 6.2718 Å, c = 6.2718 Å
α = 121.22°, β = 121.22°, γ = 87.90°
Element x y z (fractional)
Al (0.0000, 0.0000, 0.0000)
In (0.2089, 0.7089, 0.5000)
In (0.7089, 0.2089, 0.5000)
F (0.2524, 0.2524, 0.4002)
F (0.2524, 0.8522, 0.0000)
F (0.8097, 0.8097, 0.0000)
F (0.8522, 0.2524, 0.0000)
F (0.8522, 0.8522, 0.5998)



Record 10
First-principles (PBE-GGA) data for a relaxed Al3InF crystal, as listed in Alexandria via LeMat-Bulk.

* formation energy without anion corrections: -240.5 meV per atom
* E_tot: -3.408 eV/atom
* theoretical density: 3.78 g cm⁻³
* energy above the lowest structure with this stoichiometry: 0 meV/atom

a = 4.5536 Å, b = 4.5536 Å, c = 4.5536 Å
α = 90.00°, β = 90.00°, γ = 90.00°
Element x y z (fractional)
Al (0.0000, 0.0000, 0.5000)
Al (0.0000, 0.5000, 0.0000)
Al (0.5000, 0.0000, 0.0000)
In (0.5000, 0.5000, 0.5000)
F (0.0000, 0.0000, 0.0000)



Record 11
First-principles (PBE-GGA) data for a relaxed AlInIr2F crystal, as listed in Alexandria via LeMat-Bulk.

* formation energy without anion corrections: 710.4 meV per atom
* E_tot: -4.504 eV/atom
* theoretical density: 9.01 g cm⁻³

a = 5.0024 Å, b = 5.0024 Å, c = 4.0169 Å
α = 90.00°, β = 90.00°, γ = 90.00°
Element x y z (fractional)
Al (0.0000, 0.0000, 0.0000)
In (0.5000, 0.5000, 0.5000)
Ir (0.0000, 0.5000, 0.5000)
Ir (0.5000, 0.0000, 0.5000)
F (0.5000, 0.5000, 0.0000)



Record 12
First-principles (PBE-GGA) data for a relaxed K2Al3InF12 crystal, as listed in Alexandria via LeMat-Bulk.

* formation energy without anion corrections: -3201.9 meV per atom
* E_tot: -5.347 eV/atom
* theoretical density: 3.07 g cm⁻³

a = 7.4012 Å, b = 7.4012 Å, c = 7.4012 Å
α = 57.66°, β = 57.66°, γ = 57.66°
Element x y z (fractional)
K (0.1309, 0.1309, 0.1309)
K (0.8691, 0.8691, 0.8691)
Al (0.0000, 0.5000, 0.5000)
Al (0.5000, 0.0000, 0.5000)
Al (0.5000, 0.5000, 0.0000)
In (0.5000, 0.5000, 0.5000)
F (0.0494, 0.6180, 0.6180)
F (0.2201, 0.2201, 0.5961)
F (0.2201, 0.5961, 0.2201)
F (0.3820, 0.3820, 0.9506)
F (0.3820, 0.9506, 0.3820)
F (0.4039, 0.7799, 0.7799)
F (0.5961, 0.2201, 0.2201)
F (0.6180, 0.0494, 0.6180)
F (0.6180, 0.6180, 0.0494)
F (0.7799, 0.4039, 0.7799)
F (0.7799, 0.7799, 0.4039)
F (0.9506, 0.3820, 0.3820)



Number 1: D(E_F) 0.495 states/eV/atom. Number 2: D(E_F) 0.237 states/eV/atom. Number 3: D(E_F) 0.000 states/eV/atom. Number 4: D(E_F) 0.681 states/eV/atom. Number 5: D(E_F) 0.000 states/eV/atom. Number 6: D(E_F) 0.640 states/eV/atom. Number 7: D(E_F) 0.318 states/eV/atom. Number 8: D(E_F) 0.609 states/eV/atom. Number 9: D(E_F) 0.000 states/eV/atom. Number 10: D(E_F) 0.238 states/eV/atom. Number 11: D(E_F) 0.802 states/eV/atom. Number 12: D(E_F) 0.000 states/eV/atom.